Record 1
DFT (GGA-PBE) results for a relaxed structure of Hf5Bi2B.

Structure (POSCAR):
```
Hf5Bi2B
1.0
2.237 -7.709 0.000
2.237 7.709 0.000
0.000 0.000 12.061
Hf Bi B
10 4 2
Direct
0.125 0.875 0.627
0.125 0.875 0.873
0.256 0.744 0.250
0.306 0.694 0.555
0.306 0.694 0.945
0.694 0.306 0.055
0.694 0.306 0.445
0.744 0.256 0.750
0.875 0.125 0.127
0.875 0.125 0.373
0.073 0.927 0.121
0.073 0.927 0.379
0.927 0.073 0.621
0.927 0.073 0.879
0.239 0.761 0.750
0.761 0.239 0.250
```

Values from the calculation:
For the density, the calculation gives 10.5 Mg/m³. The energy of formation comes out at 0.175 eV per atom.

Record 2
DFT (GGA-PBE) results for a relaxed structure of HfBiB3.

Structure (POSCAR):
```
HfBiB3
1.0
4.471 0.000 0.000
0.000 4.471 0.000
0.000 0.000 4.471
Hf Bi B
1 1 3
Direct
0.000 0.000 0.000
0.500 0.500 0.500
0.000 0.000 0.500
0.000 0.500 0.000
0.500 0.000 0.000
```

Values from the calculation:
For the density, the calculation gives 7.8 Mg/m³. The energy of formation comes out at 1.466 eV per atom. As for the relative energy among the computed polymorphs: 0 meV per atom.

Record 3
DFT (GGA-PBE) results for a relaxed structure of HfBiB2.

Structure (POSCAR):
```
HfBiB2
1.0
-3.123 3.123 3.529
3.123 -3.123 3.529
3.123 3.123 -3.529
Hf Bi B
2 2 4
Direct
0.000 0.000 0.000
0.750 0.250 0.500
0.250 0.750 0.500
0.500 0.500 0.000
0.127 0.125 0.502
0.375 0.873 0.998
0.623 0.625 0.498
0.875 0.377 0.002
```

Values from the calculation:
For the density, the calculation gives 9.9 Mg/m³. The energy of formation comes out at 0.814 eV per atom.

Record 4
DFT (GGA-PBE) results for a relaxed structure of Hf8Bi2B.

Structure (POSCAR):
```
Hf8Bi2B
1.0
8.297 -2.463 0.000
8.297 2.463 0.000
-1.737 0.000 5.750
Hf Bi B
8 2 1
Direct
0.008 0.008 0.244
0.216 0.216 0.115
0.370 0.370 0.738
0.418 0.418 0.268
0.582 0.582 0.732
0.630 0.630 0.262
0.784 0.784 0.885
0.992 0.992 0.756
0.176 0.176 0.601
0.824 0.824 0.399
0.500 0.500 0.000
```

Values from the calculation:
For the density, the calculation gives 13.1 Mg/m³. The energy of formation comes out at 0.043 eV per atom.

Total magnetic moment for the records above, in order: 0.0 0.0 0.0 0.0 μB per cell